No. 1
# Er2Tm3Mg PBE-GGA relaxed
# DFT total energy   -3.88 eV per atom
# Theoretical density   7.92 g/cm³
# ΔE_f   145 meV per atom
# Density of states at the Fermi level   29.92 states/eV/cell
# V   725.7 Å³ per cell
data_Er2Tm3Mg
_space_group_name_H-M_alt 'C 1 2/c 1'
_space_group_IT_number 15
_cell_length_a 9.687
_cell_length_b 11.331
_cell_length_c 6.651
_cell_angle_alpha 90.00
_cell_angle_beta 96.25
_cell_angle_gamma 90.00
loop_
_space_group_symop_operation_xyz
'x,y,z'
'-x,-y,-z'
'-x,y,-z+1/2'
'x,-y,z+1/2'
'x+1/2,y+1/2,z'
'-x+1/2,-y+1/2,-z'
'-x+1/2,y+1/2,-z+1/2'
'x+1/2,-y+1/2,z+1/2'
loop_
_atom_site_label
_atom_site_fract_x
_atom_site_fract_y
_atom_site_fract_z
Er1 0.162 0.233 0.191
Tm1 0.000 0.051 0.750
Tm2 0.193 0.479 0.486
Mg1 0.000 0.322 0.750

No. 2
# Er7Tm2Mg2 PBE-GGA relaxed
# Energy above the most stable polymorph in this dataset   0.157 eV per atom
# DFT total energy   -3.83 eV per atom
# Theoretical density   7.75 g/cm³
# ΔE_f   179 meV per atom
# Density of states at the Fermi level   27.18 states/eV/cell
# V   667.0 Å³ per cell
data_Er7Tm2Mg2
_space_group_name_H-M_alt 'C 1 2/m 1'
_space_group_IT_number 12
_cell_length_a 11.780
_cell_length_b 10.966
_cell_length_c 5.585
_cell_angle_alpha 90.00
_cell_angle_beta 112.39
_cell_angle_gamma 90.00
loop_
_space_group_symop_operation_xyz
'x,y,z'
'-x,-y,-z'
'-x,y,-z'
'x,-y,z'
'x+1/2,y+1/2,z'
'-x+1/2,-y+1/2,-z'
'-x+1/2,y+1/2,-z'
'x+1/2,-y+1/2,z'
loop_
_atom_site_label
_atom_site_fract_x
_atom_site_fract_y
_atom_site_fract_z
Er1 0.000 0.000 0.000
Er2 0.191 0.206 0.184
Er3 0.219 0.000 0.673
Tm1 0.000 0.220 0.500
Mg1 0.057 0.500 0.786

No. 3
# Er2Tm5Mg PBE-GGA relaxed
# Energy above the most stable polymorph in this dataset   0.095 eV per atom
# DFT total energy   -4.04 eV per atom
# Theoretical density   8.31 g/cm³
# ΔE_f   99 meV per atom
# Density of states at the Fermi level   23.50 states/eV/cell
# V   481.1 Å³ per cell
data_Er2Tm5Mg
_space_group_name_H-M_alt 'P -1'
_space_group_IT_number 2
_cell_length_a 6.095
_cell_length_b 6.096
_cell_length_c 13.325
_cell_angle_alpha 97.29
_cell_angle_beta 97.27
_cell_angle_gamma 97.93
loop_
_space_group_symop_operation_xyz
'x,y,z'
'-x,-y,-z'
loop_
_atom_site_label
_atom_site_fract_x
_atom_site_fract_y
_atom_site_fract_z
Er1 0.122 0.263 0.478
Er2 0.236 0.378 0.022
Tm1 0.209 0.911 0.159
Tm2 0.266 0.233 0.750
Tm3 0.294 0.858 0.913
Tm4 0.358 0.794 0.413
Tm5 0.411 0.709 0.659
Mg1 0.090 0.411 0.250

No. 4
# Er4Tm7Mg PBE-GGA relaxed
# Energy above the most stable polymorph in this dataset   0.089 eV per atom
# DFT total energy   -4.16 eV per atom
# Theoretical density   8.68 g/cm³
# ΔE_f   101 meV per atom
# Density of states at the Fermi level   25.82 states/eV/cell
# V   359.0 Å³ per cell
data_Er4Tm7Mg
_space_group_name_H-M_alt 'P -3 m 1'
_space_group_IT_number 164
_space_group_name_Hall '-P 3 2"'
_cell_length_a 5.5052
_cell_length_b 5.5052
_cell_length_c 13.6766
_cell_angle_alpha 90.00
_cell_angle_beta 90.00
_cell_angle_gamma 120.00
loop_
_atom_site_label
_atom_site_fract_x
_atom_site_fract_y
_atom_site_fract_z
Er1 0.3333 0.6667 0.1816
Er2 0.3333 0.6667 0.4268
Tm1 0.0000 0.0000 0.2368
Tm2 0.0000 0.0000 0.5000
Tm3 0.3333 0.6667 0.6731
Tm4 0.3333 0.6667 0.9236
Mg1 0.0000 0.0000 0.0000

No. 5
# Er5Tm8Mg PBE-GGA relaxed
# DFT total energy   -4.06 eV per atom
# Theoretical density   8.40 g/cm³
# ΔE_f   238 meV per atom
# Density of states at the Fermi level   37.41 states/eV/cell
# V   874.6 Å³ per cell
data_Er5Tm8Mg
_space_group_name_H-M_alt 'I -4'
_space_group_IT_number 82
_cell_length_a 9.444
_cell_length_b 9.444
_cell_length_c 9.805
_cell_angle_alpha 90.00
_cell_angle_beta 90.00
_cell_angle_gamma 90.00
loop_
_space_group_symop_operation_xyz
'x,y,z'
'y,-x,-z'
'-x,-y,z'
'-y,x,-z'
'x+1/2,y+1/2,z+1/2'
'y+1/2,-x+1/2,-z+1/2'
'-x+1/2,-y+1/2,z+1/2'
'-y+1/2,x+1/2,-z+1/2'
loop_
_atom_site_label
_atom_site_fract_x
_atom_site_fract_y
_atom_site_fract_z
Er1 0.000 0.000 0.000
Er2 0.106 0.208 0.580
Tm1 0.069 0.326 0.908
Tm2 0.090 0.179 0.247
Mg1 0.000 0.500 0.250

No. 6
# ErTm5Mg PBE-GGA relaxed
# DFT total energy   -3.16 eV per atom
# Theoretical density   6.40 g/cm³
# ΔE_f   913 meV per atom
# Density of states at the Fermi level   16.94 states/eV/cell
# V   538.1 Å³ per cell
data_ErTm5Mg
_space_group_name_H-M_alt 'I m m 2'
_space_group_IT_number 44
_cell_length_a 7.806
_cell_length_b 11.394
_cell_length_c 6.050
_cell_angle_alpha 90.00
_cell_angle_beta 90.00
_cell_angle_gamma 90.00
loop_
_space_group_symop_operation_xyz
'x,y,z'
'-x,-y,z'
'-x,y,z'
'x,-y,z'
'x+1/2,y+1/2,z+1/2'
'-x+1/2,-y+1/2,z+1/2'
'-x+1/2,y+1/2,z+1/2'
'x+1/2,-y+1/2,z+1/2'
loop_
_atom_site_label
_atom_site_fract_x
_atom_site_fract_y
_atom_site_fract_z
Er1 0.000 0.000 0.000
Tm1 0.000 0.249 0.631
Tm2 0.000 0.500 0.293
Tm3 0.185 0.000 0.499
Mg1 0.000 0.500 0.767

No. 7
# ErTm2Mg PBE-GGA relaxed
# Energy above the most stable polymorph in this dataset   0.003 eV per atom
# DFT total energy   -3.80 eV per atom
# Theoretical density   7.68 g/cm³
# ΔE_f   -22 meV per atom
# Density of states at the Fermi level   4.81 states/eV/cell
# V   114.5 Å³ per cell
data_ErTm2Mg
_space_group_name_H-M_alt 'P 4/m m m'
_space_group_IT_number 123
_space_group_name_Hall '-P 4 2'
_cell_length_a 3.515
_cell_length_b 3.515
_cell_length_c 9.271
_cell_angle_alpha 90.00
_cell_angle_beta 90.00
_cell_angle_gamma 90.00
loop_
_atom_site_label
_atom_site_fract_x
_atom_site_fract_y
_atom_site_fract_z
Er1 0.000 0.000 0.000
Tm1 0.500 0.500 0.260
Mg1 0.000 0.000 0.500

No. 8
# Er3Tm5Mg PBE-GGA relaxed
# DFT total energy   -3.66 eV per atom
# Theoretical density   7.19 g/cm³
# ΔE_f   519 meV per atom
# Density of states at the Fermi level   56.44 states/eV/cell
# V   1266.9 Å³ per cell
data_Er3Tm5Mg
_space_group_name_H-M_alt 'C 1 2/m 1'
_space_group_IT_number 12
_cell_length_a 11.859
_cell_length_b 11.244
_cell_length_c 10.011
_cell_angle_alpha 90.00
_cell_angle_beta 108.36
_cell_angle_gamma 90.00
loop_
_space_group_symop_operation_xyz
'x,y,z'
'-x,-y,-z'
'-x,y,-z'
'x,-y,z'
'x+1/2,y+1/2,z'
'-x+1/2,-y+1/2,-z'
'-x+1/2,y+1/2,-z'
'x+1/2,-y+1/2,z'
loop_
_atom_site_label
_atom_site_fract_x
_atom_site_fract_y
_atom_site_fract_z
Er1 0.000 0.000 0.000
Er2 0.000 0.000 0.315
Er3 0.000 0.500 0.500
Er4 0.005 0.500 0.174
Tm1 0.000 0.235 0.500
Tm2 0.184 0.245 0.298
Tm3 0.235 0.000 0.555
Tm4 0.248 0.500 0.095
Mg1 0.236 0.500 0.765

No. 9
# Er2Tm5Mg3 PBE-GGA relaxed
# DFT total energy   -3.32 eV per atom
# Theoretical density   6.76 g/cm³
# ΔE_f   308 meV per atom
# Density of states at the Fermi level   61.53 states/eV/cell
# V   1229.8 Å³ per cell
data_Er2Tm5Mg3
_space_group_name_H-M_alt 'I b a m'
_space_group_IT_number 72
_space_group_name_Hall '-I 2 2c'
_cell_length_a 12.541
_cell_length_b 15.361
_cell_length_c 6.384
_cell_angle_alpha 90.00
_cell_angle_beta 90.00
_cell_angle_gamma 90.00
loop_
_atom_site_label
_atom_site_fract_x
_atom_site_fract_y
_atom_site_fract_z
Er1 0.133 0.194 0.000
Tm1 0.000 0.000 0.250
Tm2 0.090 0.337 0.500
Tm3 0.243 0.500 0.250
Mg1 0.000 0.500 0.250
Mg2 0.146 0.148 0.500

No. 10
# Er2Tm5Mg12 PBE-GGA relaxed
# DFT total energy   -2.39 eV per atom
# Theoretical density   4.41 g/cm³
# ΔE_f   271 meV per atom
# Density of states at the Fermi level   39.00 states/eV/cell
# V   1106.7 Å³ per cell
data_Er2Tm5Mg12
_space_group_name_H-M_alt 'C 1 2/m 1'
_space_group_IT_number 12
_cell_length_a 18.049
_cell_length_b 6.309
_cell_length_c 10.543
_cell_angle_alpha 90.00
_cell_angle_beta 112.80
_cell_angle_gamma 90.00
loop_
_space_group_symop_operation_xyz
'x,y,z'
'-x,-y,-z'
'-x,y,-z'
'x,-y,z'
'x+1/2,y+1/2,z'
'-x+1/2,-y+1/2,-z'
'-x+1/2,y+1/2,-z'
'x+1/2,-y+1/2,z'
loop_
_atom_site_label
_atom_site_fract_x
_atom_site_fract_y
_atom_site_fract_z
Er1 0.000 0.248 0.000
Tm1 0.000 0.000 0.500
Tm2 0.096 0.500 0.801
Tm3 0.126 0.500 0.263
Mg1 0.065 0.500 0.478
Mg2 0.119 0.000 0.304
Mg3 0.203 0.243 0.598
Mg4 0.204 0.236 0.092

No. 11
# Er2TmMg PBE-GGA relaxed
# Energy above the most stable polymorph in this dataset   0.075 eV per atom
# DFT total energy   -3.75 eV per atom
# Theoretical density   7.70 g/cm³
# ΔE_f   49 meV per atom
# Density of states at the Fermi level   16.24 states/eV/cell
# V   455.1 Å³ per cell
data_Er2TmMg
_space_group_name_H-M_alt 'F m -3 m'
_space_group_IT_number 225
_space_group_name_Hall '-F 4 2 3'
_cell_length_a 7.692
_cell_length_b 7.692
_cell_length_c 7.692
_cell_angle_alpha 90.00
_cell_angle_beta 90.00
_cell_angle_gamma 90.00
loop_
_atom_site_label
_atom_site_fract_x
_atom_site_fract_y
_atom_site_fract_z
Er1 0.250 0.250 0.250
Tm1 0.000 0.000 0.000
Mg1 0.000 0.000 0.500

No. 12
# Er4Tm3Mg2 PBE-GGA relaxed
# DFT total energy   -3.86 eV per atom
# Theoretical density   7.80 g/cm³
# ΔE_f   12 meV per atom
# Density of states at the Fermi level   24.24 states/eV/cell
# V   521.5 Å³ per cell
data_Er4Tm3Mg2
_space_group_name_H-M_alt 'C 1 2/m 1'
_space_group_IT_number 12
_cell_length_a 14.615
_cell_length_b 4.863
_cell_length_c 7.739
_cell_angle_alpha 90.00
_cell_angle_beta 108.53
_cell_angle_gamma 90.00
loop_
_space_group_symop_operation_xyz
'x,y,z'
'-x,-y,-z'
'-x,y,-z'
'x,-y,z'
'x+1/2,y+1/2,z'
'-x+1/2,-y+1/2,-z'
'-x+1/2,y+1/2,-z'
'x+1/2,-y+1/2,z'
loop_
_atom_site_label
_atom_site_fract_x
_atom_site_fract_y
_atom_site_fract_z
Er1 0.056 0.000 0.335
Er2 0.221 0.500 0.331
Tm1 0.000 0.500 0.000
Tm2 0.111 0.500 0.666
Mg1 0.169 0.000 0.999

No. 13
# Er3Tm6Mg PBE-GGA relaxed
# Energy above the most stable polymorph in this dataset   0.114 eV per atom
# DFT total energy   -4.07 eV per atom
# Theoretical density   8.51 g/cm³
# ΔE_f   137 meV per atom
# Density of states at the Fermi level   50.72 states/eV/cell
# V   1202.3 Å³ per cell
data_Er3Tm6Mg
_space_group_name_H-M_alt 'C m c 21'
_space_group_IT_number 36
_cell_length_a 9.124
_cell_length_b 15.059
_cell_length_c 8.750
_cell_angle_alpha 90.00
_cell_angle_beta 90.00
_cell_angle_gamma 90.00
loop_
_space_group_symop_operation_xyz
'x,y,z'
'-x,-y,z+1/2'
'-x,y,z'
'x,-y,z+1/2'
'x+1/2,y+1/2,z'
'-x+1/2,-y+1/2,z+1/2'
'-x+1/2,y+1/2,z'
'x+1/2,-y+1/2,z+1/2'
loop_
_atom_site_label
_atom_site_fract_x
_atom_site_fract_y
_atom_site_fract_z
Er1 0.000 0.044 0.000
Er2 0.178 0.353 0.480
Tm1 0.000 0.216 0.239
Tm2 0.000 0.441 0.125
Tm3 0.173 0.150 0.639
Tm4 0.237 0.439 0.810
Mg1 0.000 0.278 0.877

No. 14
# Er5Tm12Mg2 PBE-GGA relaxed
# DFT total energy   -4.09 eV per atom
# Theoretical density   8.40 g/cm³
# ΔE_f   103 meV per atom
# Density of states at the Fermi level   58.44 states/eV/cell
# V   1151.2 Å³ per cell
data_Er5Tm12Mg2
_space_group_name_H-M_alt 'C 1 2/m 1'
_space_group_IT_number 12
_cell_length_a 15.671
_cell_length_b 8.995
_cell_length_c 8.167
_cell_angle_alpha 90.00
_cell_angle_beta 90.09
_cell_angle_gamma 90.00
loop_
_space_group_symop_operation_xyz
'x,y,z'
'-x,-y,-z'
'-x,y,-z'
'x,-y,z'
'x+1/2,y+1/2,z'
'-x+1/2,-y+1/2,-z'
'-x+1/2,y+1/2,-z'
'x+1/2,-y+1/2,z'
loop_
_atom_site_label
_atom_site_fract_x
_atom_site_fract_y
_atom_site_fract_z
Er1 0.000 0.000 0.000
Er2 0.198 0.500 0.497
Er3 0.237 0.000 0.918
Tm1 0.056 0.500 0.169
Tm2 0.092 0.000 0.602
Tm3 0.125 0.304 0.837
Tm4 0.155 0.186 0.253
Mg1 0.000 0.323 0.500

No. 15
# Er2Tm2Mg15 PBE-GGA relaxed
# DFT total energy   -2.17 eV per atom
# Theoretical density   3.60 g/cm³
# ΔE_f   43 meV per atom
# Density of states at the Fermi level   40.39 states/eV/cell
# V   1433.9 Å³ per cell
data_Er2Tm2Mg15
_space_group_name_H-M_alt 'R -3 m'
_space_group_IT_number 166
_space_group_name_Hall '-R 3 2"'
_cell_length_a 10.3960
_cell_length_b 10.3960
_cell_length_c 15.3198
_cell_angle_alpha 90.00
_cell_angle_beta 90.00
_cell_angle_gamma 120.00
loop_
_atom_site_label
_atom_site_fract_x
_atom_site_fract_y
_atom_site_fract_z
Er1 0.0000 0.0000 0.1735
Tm1 0.0000 0.0000 0.3994
Mg1 0.0000 0.2994 0.5000
Mg2 0.0000 0.5000 0.0000
Mg3 0.0096 0.5048 0.6466

No. 16
# ErTm2Mg PBE-GGA relaxed
# Energy above the most stable polymorph in this dataset   0.089 eV per atom
# DFT total energy   -3.71 eV per atom
# Theoretical density   7.75 g/cm³
# ΔE_f   64 meV per atom
# Density of states at the Fermi level   18.77 states/eV/cell
# V   453.9 Å³ per cell
data_ErTm2Mg
_space_group_name_H-M_alt 'F m -3 m'
_space_group_IT_number 225
_space_group_name_Hall '-F 4 2 3'
_cell_length_a 7.685
_cell_length_b 7.685
_cell_length_c 7.685
_cell_angle_alpha 90.00
_cell_angle_beta 90.00
_cell_angle_gamma 90.00
loop_
_atom_site_label
_atom_site_fract_x
_atom_site_fract_y
_atom_site_fract_z
Er1 0.000 0.000 0.000
Tm1 0.250 0.250 0.250
Mg1 0.000 0.000 0.500

No. 17
# Er6TmMg2 PBE-GGA relaxed
# DFT total energy   -3.86 eV per atom
# Theoretical density   7.77 g/cm³
# ΔE_f   38 meV per atom
# Density of states at the Fermi level   23.32 states/eV/cell
# V   522.1 Å³ per cell
data_Er6TmMg2
_space_group_name_H-M_alt 'C 1 2/m 1'
_space_group_IT_number 12
_cell_length_a 8.766
_cell_length_b 9.417
_cell_length_c 6.381
_cell_angle_alpha 90.00
_cell_angle_beta 97.62
_cell_angle_gamma 90.00
loop_
_space_group_symop_operation_xyz
'x,y,z'
'-x,-y,-z'
'-x,y,-z'
'x,-y,z'
'x+1/2,y+1/2,z'
'-x+1/2,-y+1/2,-z'
'-x+1/2,y+1/2,-z'
'x+1/2,-y+1/2,z'
loop_
_atom_site_label
_atom_site_fract_x
_atom_site_fract_y
_atom_site_fract_z
Er1 0.163 0.000 0.176
Er2 0.165 0.171 0.679
Tm1 0.000 0.500 0.500
Mg1 0.000 0.346 0.000

No. 18
# ErTm2Mg PBE-GGA relaxed
# Energy above the most stable polymorph in this dataset   0.062 eV per atom
# DFT total energy   -3.74 eV per atom
# Theoretical density   7.69 g/cm³
# ΔE_f   36 meV per atom
# Density of states at the Fermi level   8.29 states/eV/cell
# V   114.3 Å³ per cell
data_ErTm2Mg
_space_group_name_H-M_alt 'P 4/m m m'
_space_group_IT_number 123
_space_group_name_Hall '-P 4 2'
_cell_length_a 4.849
_cell_length_b 4.849
_cell_length_c 4.861
_cell_angle_alpha 90.00
_cell_angle_beta 90.00
_cell_angle_gamma 90.00
loop_
_atom_site_label
_atom_site_fract_x
_atom_site_fract_y
_atom_site_fract_z
Er1 0.000 0.000 0.000
Tm1 0.000 0.500 0.500
Mg1 0.500 0.500 0.000

No. 19
# Er5Tm2Mg PBE-GGA relaxed
# Energy above the most stable polymorph in this dataset   0.099 eV per atom
# DFT total energy   -4.07 eV per atom
# Theoretical density   8.22 g/cm³
# ΔE_f   99 meV per atom
# Density of states at the Fermi level   48.19 states/eV/cell
# V   968.1 Å³ per cell
data_Er5Tm2Mg
_space_group_name_H-M_alt 'C 1 2/c 1'
_space_group_IT_number 15
_cell_length_a 8.005
_cell_length_b 9.200
_cell_length_c 13.394
_cell_angle_alpha 90.00
_cell_angle_beta 101.05
_cell_angle_gamma 90.00
loop_
_space_group_symop_operation_xyz
'x,y,z'
'-x,-y,-z'
'-x,y,-z+1/2'
'x,-y,z+1/2'
'x+1/2,y+1/2,z'
'-x+1/2,-y+1/2,-z'
'-x+1/2,y+1/2,-z+1/2'
'x+1/2,-y+1/2,z+1/2'
loop_
_atom_site_label
_atom_site_fract_x
_atom_site_fract_y
_atom_site_fract_z
Er1 0.000 0.235 0.250
Er2 0.175 0.031 0.087
Er3 0.191 0.099 0.841
Tm1 0.056 0.320 0.522
Mg1 0.000 0.407 0.750

No. 20
# Er8Tm4Mg PBE-GGA relaxed
# DFT total energy   -4.10 eV per atom
# Theoretical density   8.38 g/cm³
# ΔE_f   206 meV per atom
# Density of states at the Fermi level   51.01 states/eV/cell
# V   1212.0 Å³ per cell
data_Er8Tm4Mg
_space_group_name_H-M_alt 'R -3 m'
_space_group_IT_number 166
_space_group_name_Hall '-R 3 2"'
_cell_length_a 7.0168
_cell_length_b 7.0168
_cell_length_c 28.4238
_cell_angle_alpha 90.00
_cell_angle_beta 90.00
_cell_angle_gamma 120.00
loop_
_atom_site_label
_atom_site_fract_x
_atom_site_fract_y
_atom_site_fract_z
Er1 0.0000 0.0000 0.2117
Er2 0.0167 0.5084 0.7624
Tm1 0.0000 0.0000 0.0000
Tm2 0.0000 0.5000 0.0000
Mg1 0.0000 0.0000 0.5000